No. 1
A relaxed structure of Mg2SiBr, computed with GGA-PBE.

a b c (Å): 3.406 3.406 7.602
angles (deg): 90.00 90.00 100.12
Fractional positions:
Mg 0.000 0.000 0.466
Si 0.500 0.500 0.250
Br 0.500 0.500 0.750
Mg 0.000 0.000 0.034

Summary:
- Electronic total energy: -2.795 eV/atom
- Energy relative to the lowest polymorph listed for this composition: 147 meV/atom
- Symmetry: Cmmm, No. 65
- Formation energy from raw total energies: -0.2235 eV per atom
- M_tot: 0.000 Bohr magnetons per cell

---

No. 2
A relaxed structure of Mg2SiBr, computed with GGA-PBE.

a b c (Å): 5.726 5.726 5.726
angles (deg): 143.50 100.09 91.19
Fractional positions:
Mg 0.010 0.010 0.000
Br 0.750 0.250 0.500
Si 0.250 0.750 0.500
Mg 0.490 0.490 0.000

Summary:
- Electronic total energy: -2.590 eV/atom
- Energy relative to the lowest polymorph listed for this composition: 352 meV/atom
- Symmetry: Immm, No. 71
- Formation energy from raw total energies: -0.0191 eV per atom
- M_tot: 0.000 Bohr magnetons per cell

---

No. 3
A relaxed structure of MgSiBr3, computed with GGA-PBE.

a b c (Å): 5.215 5.215 5.215
angles (deg): 90.00 90.00 90.00
Last column: magnetic moment on the atom in μB.
Fractional positions:
Mg 0.000 0.000 0.000  0.00
Br 0.500 0.000 0.000  -0.01
Br 0.000 0.500 0.000  0.00
Br 0.000 0.000 0.500  -0.01
Si 0.500 0.500 0.500  0.33

Summary:
- Electronic total energy: -2.697 eV/atom
- Energy relative to the lowest polymorph listed for this composition: 0 meV/atom
- Symmetry: Pm-3m, No. 221
- Formation energy from raw total energies: -0.2896 eV per atom
- M_tot: 1.000 Bohr magnetons per cell

---

No. 4
A relaxed structure of MgSi3Br, computed with GGA-PBE.

a b c (Å): 5.058 5.058 5.058
angles (deg): 90.00 90.00 90.00
Last column: magnetic moment on the atom in μB.
Fractional positions:
Br 0.500 0.500 0.500  0.10
Si 0.000 0.000 0.500  0.04
Si 0.000 0.500 0.000  0.06
Mg 0.000 0.000 0.000  0.00
Si 0.500 0.000 0.000  0.08

Summary:
- Electronic total energy: -2.789 eV/atom
- Energy relative to the lowest polymorph listed for this composition: 0 meV/atom
- Symmetry: Pm-3m, No. 221
- Formation energy from raw total energies: 1.1182 eV per atom
- M_tot: 0.693 Bohr magnetons per cell

---

No. 5
A relaxed structure of Mg2SiBr, computed with GGA-PBE.

a b c (Å): 4.831 4.831 4.831
angles (deg): 114.29 114.29 100.21
Fractional positions:
Mg 0.500 0.500 0.000
Mg 0.000 0.000 0.000
Br 0.750 0.250 0.500
Si 0.250 0.750 0.500

Summary:
- Electronic total energy: -2.544 eV/atom
- Energy relative to the lowest polymorph listed for this composition: 398 meV/atom
- Symmetry: I4/mmm, No. 139
- Formation energy from raw total energies: 0.0268 eV per atom
- M_tot: 0.000 Bohr magnetons per cell

---

No. 6
A relaxed structure of Mg2SiBr, computed with GGA-PBE.

a b c (Å): 5.766 5.766 4.687
angles (deg): 90.00 90.00 33.59
Fractional positions:
Br 0.238 0.238 0.125
Mg 0.769 0.769 0.625
Si 0.492 0.492 0.625
Mg 0.001 0.001 0.125

Summary:
- Electronic total energy: -2.818 eV/atom
- Energy relative to the lowest polymorph listed for this composition: 124 meV/atom
- Symmetry: Amm2, No. 38
- Formation energy from raw total energies: -0.2467 eV per atom
- M_tot: 0.000 Bohr magnetons per cell

---

No. 7
A relaxed structure of MgSiTe2Br, computed with GGA-PBE.

a b c (Å): 5.546 4.952 5.546
angles (deg): 90.00 90.00 90.00
Fractional positions:
Te 0.000 0.000 0.500
Mg 0.000 0.000 0.000
Si 0.500 0.500 0.500
Te 0.500 0.000 0.000
Br 0.000 0.500 0.000

Summary:
- Electronic total energy: -2.745 eV/atom
- Symmetry: P4/mmm, No. 123
- Formation energy from raw total energies: 0.2493 eV per atom
- M_tot: 0.000 Bohr magnetons per cell

---

No. 8
A relaxed structure of SmMgBr6, computed with GGA-PBE.

a b c (Å): 7.789 7.789 7.789
angles (deg): 60.00 60.00 60.00
Fractional positions:
Sm 0.500 0.500 0.500
Br 0.242 0.758 0.242
Br 0.242 0.242 0.758
Br 0.758 0.758 0.242
Br 0.758 0.242 0.242
Mg 0.000 0.000 0.000
Br 0.758 0.242 0.758
Br 0.242 0.758 0.758

Summary:
- Electronic total energy: -3.338 eV/atom
- Symmetry: Fm-3m, No. 225
- Formation energy from raw total energies: -1.2939 eV per atom
- M_tot: 0.000 Bohr magnetons per cell

---

No. 9
A relaxed structure of SmMgBr4, computed with GGA-PBE.

a b c (Å): 3.787 7.633 7.410
angles (deg): 105.77 90.00 90.00
Fractional positions:
Sm 0.500 0.500 0.000
Br 0.500 0.293 0.284
Br 0.500 0.707 0.716
Mg 0.000 0.500 0.500
Br 0.000 0.730 0.276
Br 0.000 0.270 0.724

Summary:
- Electronic total energy: -3.688 eV/atom
- Symmetry: P2/m, No. 10
- Formation energy from raw total energies: -1.5209 eV per atom
- M_tot: 0.000 Bohr magnetons per cell

---

No. 10
A relaxed structure of SmMgTlBr6, computed with GGA-PBE.

a b c (Å): 7.261 7.261 14.513
angles (deg): 90.00 90.00 120.00
Fractional positions:
Br 0.017 0.380 0.140
Br 0.364 0.380 0.360
Mg 0.667 0.333 0.750
Br 0.636 0.620 0.640
Sm 0.333 0.667 0.750
Br 0.620 0.983 0.360
Br 0.380 0.017 0.640
Mg 0.333 0.667 0.250
Br 0.380 0.364 0.860
Tl 0.000 0.000 0.000
Tl 0.000 0.000 0.500
Br 0.983 0.364 0.640
Br 0.364 0.983 0.140
Br 0.017 0.636 0.360
Br 0.983 0.620 0.860
Br 0.620 0.636 0.140
Sm 0.667 0.333 0.250
Br 0.636 0.017 0.860

Summary:
- Electronic total energy: -3.600 eV/atom
- Symmetry: P-31c, No. 163
- Formation energy from raw total energies: -1.5208 eV per atom
- M_tot: 0.000 Bohr magnetons per cell

---

No. 11
A relaxed structure of MgSn3Br, computed with GGA-PBE.

a b c (Å): 5.507 5.507 5.507
angles (deg): 90.00 90.00 90.00
Fractional positions:
Mg 0.000 0.000 0.000
Br 0.500 0.500 0.500
Sn 0.500 0.000 0.000
Sn 0.000 0.500 0.000
Sn 0.000 0.000 0.500

Summary:
- Electronic total energy: -2.711 eV/atom
- Energy relative to the lowest polymorph listed for this composition: 0 meV/atom
- Symmetry: Pm-3m, No. 221
- Formation energy from raw total energies: 0.3440 eV per atom
- M_tot: 0.000 Bohr magnetons per cell

---

No. 12
A relaxed structure of Mg2SnBr, computed with GGA-PBE.

a b c (Å): 6.638 6.638 7.766
angles (deg): 64.70 64.70 90.00
Fractional positions:
Sn 0.000 0.000 0.000
Br 0.250 0.750 0.500
Sn 0.750 0.250 0.500
Mg 0.875 0.875 0.750
Br 0.500 0.500 0.000
Mg 0.375 0.375 0.750
Mg 0.625 0.125 0.250
Mg 0.125 0.625 0.250

Summary:
- Electronic total energy: -2.489 eV/atom
- Energy relative to the lowest polymorph listed for this composition: 0 meV/atom
- Symmetry: I-42d, No. 122
- Formation energy from raw total energies: -0.2732 eV per atom
- M_tot: 0.001 Bohr magnetons per cell

---

No. 13
A relaxed structure of MgSn2Br, computed with GGA-PBE.

a b c (Å): 4.245 4.245 12.897
angles (deg): 80.53 80.53 90.00
Fractional positions:
Sn 0.875 0.861 0.750
Br 0.000 0.000 0.000
Sn 0.611 0.125 0.250
Mg 0.500 0.500 0.000
Sn 0.139 0.625 0.250
Mg 0.250 0.750 0.500
Sn 0.375 0.389 0.750
Br 0.750 0.250 0.500

Summary:
- Electronic total energy: -2.979 eV/atom
- Energy relative to the lowest polymorph listed for this composition: 0 meV/atom
- Symmetry: I-42d, No. 122
- Formation energy from raw total energies: -0.1612 eV per atom
- M_tot: 0.000 Bohr magnetons per cell

---

No. 14
A relaxed structure of MgSn2Br6, computed with GGA-PBE.

a b c (Å): 4.166 8.444 9.729
angles (deg): 101.41 90.00 104.28
Fractional positions:
Sn 0.353 0.706 0.165
Br 0.730 0.459 0.178
Br 0.616 0.232 0.534
Br 0.270 0.541 0.822
Br 0.994 0.989 0.228
Sn 0.647 0.294 0.835
Br 0.006 0.011 0.772
Mg 0.000 0.000 0.500
Br 0.384 0.768 0.466

Summary:
- Electronic total energy: -3.172 eV/atom
- Symmetry: C2/m, No. 12
- Formation energy from raw total energies: -0.9903 eV per atom
- M_tot: 0.000 Bohr magnetons per cell

---

No. 15
A relaxed structure of MgSnBr, computed with GGA-PBE.

a b c (Å): 3.575 3.573 16.484
angles (deg): 90.00 90.00 120.02
Fractional positions:
Sn 0.659 0.318 0.642
Mg 0.325 0.650 0.500
Mg 0.564 0.127 0.000
Br 0.230 0.460 0.897
Br 0.230 0.460 0.103
Sn 0.659 0.318 0.358

Summary:
- Electronic total energy: -2.980 eV/atom
- Symmetry: Amm2, No. 38
- Formation energy from raw total energies: -0.5564 eV per atom
- M_tot: 0.000 Bohr magnetons per cell

---

No. 16
A relaxed structure of MgSn3Br, computed with GGA-PBE.

a b c (Å): 5.580 5.580 5.580
angles (deg): 90.00 90.00 90.00
Fractional positions:
Sn 0.500 0.000 0.000
Mg 0.500 0.500 0.500
Sn 0.000 0.000 0.500
Br 0.000 0.000 0.000
Sn 0.000 0.500 0.000

Summary:
- Electronic total energy: -2.495 eV/atom
- Energy relative to the lowest polymorph listed for this composition: 216 meV/atom
- Symmetry: Pm-3m, No. 221
- Formation energy from raw total energies: 0.5600 eV per atom
- M_tot: 0.000 Bohr magnetons per cell

---

No. 17
A relaxed structure of MgSn2Br, computed with GGA-PBE.

a b c (Å): 5.331 5.331 5.331
angles (deg): 60.00 60.00 60.00
Fractional positions:
Sn 0.750 0.750 0.750
Mg 0.000 0.000 0.000
Br 0.500 0.500 0.500
Sn 0.250 0.250 0.250

Summary:
- Electronic total energy: -2.753 eV/atom
- Energy relative to the lowest polymorph listed for this composition: 226 meV/atom
- Symmetry: Fm-3m, No. 225
- Formation energy from raw total energies: 0.0649 eV per atom
- M_tot: 0.000 Bohr magnetons per cell

---

No. 18
A relaxed structure of Mg5SnBr12, computed with GGA-PBE.

a b c (Å): 6.878 6.880 14.272
angles (deg): 89.95 89.89 60.01
Fractional positions:
Br 0.366 0.634 0.889
Br 0.167 0.333 0.397
Mg 0.333 0.333 0.000
Br 0.634 0.000 0.889
Br 0.500 0.333 0.603
Br 0.634 0.366 0.111
Br 0.000 0.634 0.111
Mg 0.167 0.667 0.500
Br 0.833 0.667 0.603
Br 0.366 0.000 0.111
Br 0.500 0.667 0.397
Br 0.000 0.366 0.889
Mg 0.833 0.333 0.500
Mg 0.667 0.667 0.000
Mg 0.500 0.000 0.500
Br 0.166 0.000 0.604
Br 0.834 0.000 0.396
Sn 0.000 0.000 0.000

Summary:
- Electronic total energy: -3.133 eV/atom
- Symmetry: C2/m, No. 12
- Formation energy from raw total energies: -1.3520 eV per atom
- M_tot: 0.000 Bohr magnetons per cell

---

No. 19
A relaxed structure of MgSnBr4, computed with GGA-PBE.

a b c (Å): 4.076 8.247 7.344
angles (deg): 118.08 90.00 104.31
Fractional positions:
Br 0.385 0.770 0.083
Br 0.892 0.783 0.531
Br 0.615 0.230 0.917
Br 0.108 0.217 0.469
Sn 0.000 0.000 0.000
Mg 0.500 0.000 0.500

Summary:
- Electronic total energy: -3.151 eV/atom
- Symmetry: C2/m, No. 12
- Formation energy from raw total energies: -1.1025 eV per atom
- M_tot: 0.000 Bohr magnetons per cell

---

No. 20
A relaxed structure of Mg2SnBr, computed with GGA-PBE.

a b c (Å): 5.214 5.214 5.214
angles (deg): 60.00 60.00 60.00
Fractional positions:
Mg 0.250 0.250 0.250
Br 0.000 0.000 0.000
Sn 0.500 0.500 0.500
Mg 0.750 0.750 0.750

Summary:
- Electronic total energy: -2.327 eV/atom
- Energy relative to the lowest polymorph listed for this composition: 162 meV/atom
- Symmetry: Fm-3m, No. 225
- Formation energy from raw total energies: -0.1108 eV per atom
- M_tot: 0.000 Bohr magnetons per cell

---

No. 21
A relaxed structure of Mg2SnBr6, computed with GGA-PBE.

a b c (Å): 7.406 9.510 9.510
angles (deg): 84.85 80.89 80.89
Fractional positions:
Br 0.375 0.384 0.866
Sn 0.750 0.886 0.114
Br 0.861 0.209 0.034
Mg 0.194 0.613 0.775
Br 0.106 0.441 0.288
Sn 0.250 0.114 0.886
Br 0.139 0.791 0.966
Mg 0.306 0.225 0.387
Br 0.625 0.616 0.134
Br 0.394 0.712 0.559
Br 0.125 0.134 0.616
Br 0.361 0.034 0.209
Br 0.894 0.559 0.712
Br 0.639 0.966 0.791
Mg 0.694 0.775 0.613
Br 0.875 0.866 0.384
Mg 0.806 0.387 0.225
Br 0.606 0.288 0.441

Summary:
- Electronic total energy: -3.099 eV/atom
- Energy relative to the lowest polymorph listed for this composition: 46 meV/atom
- Symmetry: C2/c, No. 15
- Formation energy from raw total energies: -1.1843 eV per atom
- M_tot: 0.000 Bohr magnetons per cell

---

No. 22
A relaxed structure of Mg2SnBr6, computed with GGA-PBE.

a b c (Å): 7.057 7.032 7.032
angles (deg): 120.00 90.00 90.00
Fractional positions:
Mg 0.500 0.667 0.333
Br 0.719 0.365 0.000
Br 0.281 0.000 0.635
Br 0.281 0.365 0.365
Sn 0.500 0.000 0.000
Mg 0.500 0.333 0.667
Br 0.281 0.635 0.000
Br 0.719 0.635 0.635
Br 0.719 0.000 0.365

Summary:
- Electronic total energy: -3.144 eV/atom
- Energy relative to the lowest polymorph listed for this composition: 0 meV/atom
- Symmetry: P-31m, No. 162
- Formation energy from raw total energies: -1.2299 eV per atom
- M_tot: 0.000 Bohr magnetons per cell

---

No. 23
A relaxed structure of MgSnBr4, computed with GGA-PBE.

a b c (Å): 4.070 6.987 7.343
angles (deg): 92.31 90.00 90.00
Fractional positions:
Br 0.000 0.232 0.305
Br 0.000 0.768 0.695
Mg 0.000 0.000 0.000
Br 0.500 0.784 0.137
Br 0.500 0.216 0.863
Sn 0.500 0.000 0.500

Summary:
- Electronic total energy: -3.150 eV/atom
- Symmetry: P2/m, No. 10
- Formation energy from raw total energies: -1.1023 eV per atom
- M_tot: 0.000 Bohr magnetons per cell

---

No. 24
A relaxed structure of Mg3SnBr8, computed with GGA-PBE.

a b c (Å): 8.066 8.065 8.513
angles (deg): 119.43 90.00 120.00
Fractional positions:
Mg 0.000 0.500 0.000
Mg 0.500 0.500 0.000
Br 0.716 0.972 0.221
Br 0.740 0.480 0.213
Br 0.743 0.028 0.779
Br 0.743 0.487 0.779
Mg 0.500 0.000 0.000
Br 0.257 0.513 0.221
Sn 0.000 0.000 0.000
Br 0.260 0.520 0.787
Br 0.284 0.028 0.779
Br 0.257 0.972 0.221

Summary:
- Electronic total energy: -3.127 eV/atom
- Symmetry: C2/m, No. 12
- Formation energy from raw total energies: -1.2793 eV per atom
- M_tot: 0.000 Bohr magnetons per cell